[1]
Entry from OQMD via LeMat-Bulk: a relaxed structure of Ta4AlSnC2 (GGA-PBE).

Summary:
- Calculated volume: 15.15 Å³ per atom
- Space group: P-6m2 (187)
- Magnetization: 0.01 μB per cell
- Density: 12.2 g cm⁻³
- VASP energy: -9.62 eV per atom

Unit cell a=3.1673 b=3.1673 c=13.9550 alpha=90.00 beta=90.00 gamma=120.00
With the nearest neighbours (Å) after each atom.
Sites, in units of the cell vectors:
Ta 0.0000 0.0000 0.1576  3 C 2.20
Ta 0.0000 0.0000 0.8424  3 C 2.20
Ta 0.3333 0.6667 0.3310  3 C 2.19
Ta 0.3333 0.6667 0.6690  3 C 2.19
Al 0.3333 0.6667 0.0000  6 Ta 2.86, 6 Al 3.17
Sn 0.0000 0.0000 0.5000  6 Ta 2.98, 6 Sn 3.17
C 0.6667 0.3333 0.2446  6 Ta 2.19-2.20
C 0.6667 0.3333 0.7554  6 Ta 2.19-2.20

***

[2]
Entry from OQMD via LeMat-Bulk: a relaxed structure of Tm4AlSnC2 (GGA-PBE).

Summary:
- Calculated volume: 21.20 Å³ per atom
- Space group: P-6m2 (187)
- Magnetization: 0.00 μB per cell
- Density: 8.3 g cm⁻³
- VASP energy: -5.96 eV per atom

Unit cell a=3.5339 b=3.5339 c=15.6815 alpha=90.00 beta=90.00 gamma=120.00
With the nearest neighbours (Å) after each atom.
Sites, in units of the cell vectors:
Tm 0.0000 0.0000 0.1632  3 C 2.45
Tm 0.0000 0.0000 0.8368  3 C 2.45
Tm 0.6667 0.3333 0.3320  3 C 2.41
Tm 0.6667 0.3333 0.6680  3 C 2.41
Al 0.6667 0.3333 0.0000  6 Tm 3.27, 6 Al 3.53
Sn 0.0000 0.0000 0.5000  6 Tm 3.33, 6 Sn 3.53
C 0.3333 0.6667 0.2498  6 Tm 2.41-2.45
C 0.3333 0.6667 0.7502  6 Tm 2.41-2.45

***

[3]
Entry from OQMD via LeMat-Bulk: a relaxed structure of AlSnW4C2 (GGA-PBE).

Summary:
- Calculated volume: 14.25 Å³ per atom
- Space group: P-6m2 (187)
- Magnetization: 0.03 μB per cell
- Density: 13.2 g cm⁻³
- VASP energy: -9.57 eV per atom

Unit cell a=3.1131 b=3.1131 c=13.5856 alpha=90.00 beta=90.00 gamma=120.00
With the nearest neighbours (Å) after each atom.
Sites, in units of the cell vectors:
Al 0.0000 0.0000 0.0000  6 W 2.79, 6 Al 3.11
Sn 0.6667 0.3333 0.5000  6 W 2.95, 6 Sn 3.11
W 0.0000 0.0000 0.3278  3 C 2.13
W 0.0000 0.0000 0.6722  3 C 2.13
W 0.6667 0.3333 0.1573  3 C 2.15
W 0.6667 0.3333 0.8427  3 C 2.15
C 0.3333 0.6667 0.2437  6 W 2.13-2.15
C 0.3333 0.6667 0.7563  6 W 2.13-2.15